Entry from Alexandria: a relaxed PrNpSe crystal (GGA-PBE).

Computed properties:
V ... 24.8 Å³ per atom
Energy relative to the elements, uncorrected ... -0.747 eV per atom
Space-group type ... C2/m (12)

The structure in POSCAR format:
```
PrNpSe
1.0
3.6466 0.0000 0.0000
0.0000 4.9269 0.8617
-1.8233 0.1820 8.3177
Np Se Pr
2 2 2
direct
0.2566 0.8355 0.5132
0.7434 0.1645 0.4868
0.9109 0.7959 0.8219
0.0891 0.2041 0.1781
0.4162 0.2858 0.8323
0.5838 0.7142 0.1677
```

Entry from Alexandria: a relaxed Tm3ThSb2 crystal (GGA-PBE).

Computed properties:
V ... 30.0 Å³ per atom
Energy relative to the elements, uncorrected ... -0.580 eV per atom
Space-group type ... C2/m (12)

The structure in POSCAR format:
```
Tm3ThSb2
1.0
4.1847 0.0000 0.0000
-2.0924 8.2366 -0.1180
0.0000 -3.8049 10.5016
Sb Tm Th
4 6 2
direct
0.7723 0.5446 0.1468
0.2277 0.4554 0.8532
0.4818 0.9635 0.8254
0.5182 0.0365 0.1746
0.7166 0.4332 0.3739
0.9395 0.8789 0.5981
0.3815 0.7631 0.3275
0.6185 0.2369 0.6725
0.2834 0.5668 0.6261
0.0605 0.1211 0.4019
0.1195 0.2390 0.0395
0.8805 0.7610 0.9605
```

Entry from Alexandria: a relaxed KSnAs2Pt crystal (GGA-PBE).

Computed properties:
V ... 27.5 Å³ per atom
Space-group type ... P4/mmm (123)
E_form ... 1.28 eV per formula unit

The structure in POSCAR format:
```
KSnAs2Pt
1.0
4.9568 0.0000 0.0000
0.0000 5.5874 0.0000
0.0000 0.0000 4.9568
Pt K As Sn
1 1 2 1
direct
0.0000 0.0000 0.0000
0.0000 0.5000 0.0000
0.5000 0.0000 0.0000
0.0000 0.0000 0.5000
0.5000 0.5000 0.5000
```

Number 1: M_tot 4.31 Bohr magnetons per cell, E_tot -7.81 eV/atom. Number 2: M_tot 0.40 Bohr magnetons per cell, E_tot -5.43 eV/atom. Number 3: M_tot 0.00 Bohr magnetons per cell, E_tot -3.83 eV/atom.